This record from the Alexandria database describes a geometry-optimized AcCo4Cu3O12 structure. The functional is GGA+U.

VASP energy in eV/atom: -5.8872
Crystal system: cubic

```
data_AcCo4Cu3O12
_space_group_name_H-M_alt 'P 1'
_space_group_IT_number 1
_space_group_name_Hall 'P 1'
_cell_length_a 6.400
_cell_length_b 6.400
_cell_length_c 6.400
_cell_angle_alpha 109.47
_cell_angle_beta 109.47
_cell_angle_gamma 109.47
loop_
_atom_site_label
_atom_site_fract_x
_atom_site_fract_y
_atom_site_fract_z
_atom_site_occupancy
O1 0.313 0.825 0.138 1
O2 0.489 0.313 0.175 1
Cu1 0.000 0.500 0.500 1
O3 0.175 0.489 0.313 1
O4 0.687 0.175 0.862 1
Cu2 0.500 0.000 0.500 1
O5 0.511 0.687 0.825 1
O6 0.138 0.313 0.825 1
Co1 0.000 0.500 0.000 1
Co2 0.500 0.000 0.000 1
O7 0.687 0.825 0.511 1
Co3 0.500 0.500 0.500 1
Co4 0.000 0.000 0.500 1
O8 0.313 0.175 0.489 1
Ac1 0.000 0.000 0.000 1
O9 0.175 0.862 0.687 1
Cu3 0.500 0.500 0.000 1
O10 0.862 0.687 0.175 1
O11 0.825 0.511 0.687 1
O12 0.825 0.138 0.313 1
```